# 1
VASP calculation (PBE-GGA) on a relaxed BaCdI2O crystal.

Summary:
The energy relative to the lowest polymorph listed for this composition comes out at 381 meV/atom. The uncorrected energy comes out at -2.832 eV per atom. As for the crystal system: tetragonal.

Cell and atoms, written as POSCAR:
```
BaCdI2O
1.0
6.829 0.000 0.000
0.000 6.829 0.000
0.000 0.000 4.538
Ba Cd I O
1 1 2 1
direct
0.000 0.000 0.000
0.500 0.500 0.500
0.000 0.500 0.000
0.500 0.000 0.000
0.000 0.000 0.500
```

# 2
VASP calculation (PBE-GGA) on a relaxed RbLi2In2Bi2 crystal.

Summary:
The uncorrected energy comes out at -2.871 eV per atom. The energy of formation from the pure elements comes out at -0.30 eV per atom. As for the crystal system: trigonal.

Cell and atoms, written as POSCAR:
```
RbLi2In2Bi2
1.0
2.589 1.495 9.742
-2.589 1.495 9.742
0.000 -2.990 9.742
Rb Li In Bi
1 2 2 2
direct
0.000 0.000 0.000
0.144 0.144 0.144
0.856 0.856 0.856
0.450 0.450 0.450
0.550 0.550 0.550
0.245 0.245 0.245
0.755 0.755 0.755
```

# 3
VASP calculation (PBE-GGA) on a relaxed KAsF4 crystal.

Summary:
The uncorrected energy comes out at -4.632 eV per atom. As for the crystal system: monoclinic.

Cell and atoms, written as POSCAR:
```
KAsF4
1.0
3.982 -2.302 0.000
3.982 2.302 0.000
-2.255 0.000 5.971
K As F
1 1 4
direct
0.000 0.000 0.000
0.493 0.507 0.500
0.399 0.354 0.174
0.619 0.082 0.534
0.646 0.601 0.826
0.918 0.381 0.466
```

# 4
VASP calculation (PBE-GGA) on a relaxed ScCdB crystal.

Summary:
The energy relative to the lowest polymorph listed for this composition comes out at 613 meV/atom. The uncorrected energy comes out at -4.519 eV per atom. The energy of formation from the pure elements comes out at 0.12 eV per atom. As for the crystal system: monoclinic.

Cell and atoms, written as POSCAR:
```
ScCdB
1.0
4.295 0.000 0.000
0.000 4.012 0.000
-0.477 0.000 6.011
Sc Cd B
2 2 2
direct
0.000 0.000 0.000
0.199 0.000 0.531
0.503 0.500 0.889
0.714 0.500 0.363
0.509 0.000 0.192
0.993 0.500 0.724
```

# 5
VASP calculation (PBE-GGA) on a relaxed DyMg2GaCu2 crystal.

Summary:
The uncorrected energy comes out at -3.137 eV per atom. The energy of formation from the pure elements comes out at 0.03 eV per atom. As for the crystal system: tetragonal.

Cell and atoms, written as POSCAR:
```
DyMg2GaCu2
1.0
-2.478 2.478 5.207
2.478 -2.478 5.207
2.478 2.478 -5.207
Dy Mg Ga Cu
1 2 1 2
direct
0.000 0.000 0.000
0.250 0.750 0.500
0.750 0.250 0.500
0.500 0.500 0.000
0.277 0.277 0.000
0.723 0.723 0.000
```

# 6
VASP calculation (PBE-GGA) on a relaxed TaCr2Br crystal.

Summary:
The energy relative to the lowest polymorph listed for this composition comes out at 461 meV/atom. The uncorrected energy comes out at -7.423 eV per atom. As for the crystal system: orthorhombic.

Cell and atoms, written as POSCAR:
```
TaCr2Br
1.0
2.913 -3.504 0.000
2.913 3.504 0.000
0.000 0.000 3.098
Ta Cr Br
1 2 1
direct
0.000 0.000 0.000
0.000 0.500 0.500
0.500 0.000 0.500
0.500 0.500 0.000
```